No. 1
# Nd3In7Pt4

A geometry-optimized Nd3In7Pt4 structure (PBE-GGA, the Alexandria database).

a = 4.4814 Å, b = 8.7594 Å, c = 9.1515 Å
α = 70.39°, β = 75.83°, γ = 75.18°
With the nearest neighbours (Å) after each atom.
Element x y z (fractional)
Pt1 0.8822 0.8972 0.3385  6 In 2.76-2.87
In1 0.4931 0.2245 0.7893  3 Pt 2.74-2.84, 1 In 3.01
Pt2 0.6606 0.4459 0.2329  5 In 2.70-2.84
Nd1 0.0000 0.5000 0.5000  6 Pt 3.25-3.39
Pt3 0.1178 0.1028 0.6615  6 In 2.76-2.87
In2 0.8372 0.3961 0.9294  3 Pt 2.79-2.84, 2 In 3.12
In3 0.0000 0.0000 0.0000  2 Pt 2.87, 4 In 3.17
In4 0.5069 0.7755 0.2107  3 Pt 2.74-2.84, 1 In 3.01
Pt4 0.3394 0.5541 0.7671  5 In 2.70-2.84
In5 0.6828 0.1624 0.4720  4 Pt 2.70-2.83, 1 In 3.01
Nd2 0.6926 0.8166 0.7982  4 Pt 3.22-3.26, 10 In 3.25-3.57
In6 0.1628 0.6039 0.0706  3 Pt 2.79-2.84, 2 In 3.12
Nd3 0.3074 0.1834 0.2018  4 Pt 3.22-3.26, 10 In 3.25-3.57
In7 0.3172 0.8376 0.5280  4 Pt 2.70-2.83, 1 In 3.01

Output
crystal system	monoclinic
M_tot	0.0	μB per formula unit
theoretical density	10.40	g cm⁻³
space group	C2/m
DFT formation energy	-718	meV/atom



No. 2
# Tb2PrAl9

A geometry-optimized Tb2PrAl9 structure (PBE-GGA, the Alexandria database).

a = 5.6247 Å, b = 5.6247 Å, c = 9.3646 Å
α = 72.52°, β = 72.52°, γ = 60.00°
With the nearest neighbours (Å) after each atom.
Element x y z (fractional)
Al1 0.4124 0.4124 0.2513  7 Al 2.71-2.88
Pr1 0.0000 0.0000 0.0000  18 Al 3.25-3.58
Al2 0.5876 0.5876 0.7487  7 Al 2.71-2.88
Al3 0.5876 0.0760 0.7487  7 Al 2.71-2.88
Al4 0.3356 0.3356 0.9931  6 Al 2.71-2.77
Al5 0.6644 0.6644 0.0069  6 Al 2.71-2.77
Al6 0.0760 0.5876 0.7487  7 Al 2.71-2.88
Al7 0.4124 0.9240 0.2513  7 Al 2.71-2.88
Al8 0.9240 0.4124 0.2513  7 Al 2.71-2.88
Tb1 0.8582 0.8582 0.4255  12 Al 3.20-3.31, 3 Tb 3.50
Al9 0.5000 0.5000 0.5000  6 Al 2.74
Tb2 0.1418 0.1418 0.5745  12 Al 3.20-3.31, 3 Tb 3.50

Output
crystal system	trigonal
M_tot	0.0	μB per formula unit
theoretical density	4.84	g cm⁻³
space group	R-3m
DFT formation energy	-394	meV/atom



No. 3
# Ba2MgPb2

A geometry-optimized Ba2MgPb2 structure (PBE-GGA, the Alexandria database).

a = 5.2874 Å, b = 6.9702 Å, c = 11.3522 Å
α = 86.29°, β = 76.53°, γ = 67.71°
With the nearest neighbours (Å) after each atom.
Element x y z (fractional)
Pb1 0.3644 0.1512 0.1201  1 Mg 3.06, 1 Pb 3.25
Ba1 0.0773 0.7427 0.1026  6 Pb 3.69-3.82, 2 Mg 4.05, 1 Ba 4.07
Mg1 0.3552 0.9283 0.3613  4 Pb 3.06-3.10
Pb2 0.0820 0.2739 0.5620  3 Mg 3.08-3.10, 1 Pb 3.25
Pb3 0.9180 0.7261 0.4380  3 Mg 3.08-3.10, 1 Pb 3.25
Mg2 0.6448 0.0717 0.6387  4 Pb 3.06-3.10
Ba2 0.3291 0.6715 0.6703  7 Pb 3.68-4.09, 4 Mg 3.72-3.87
Ba3 0.6709 0.3285 0.3297  7 Pb 3.68-4.09, 4 Mg 3.72-3.87
Ba4 0.9227 0.2573 0.8974  6 Pb 3.69-3.82, 2 Mg 4.05, 1 Ba 4.07
Pb4 0.6356 0.8488 0.8799  1 Mg 3.06, 1 Pb 3.25

Output
excess energy over the best structure of this formula in the dataset	0.000	eV/atom
crystal system	monoclinic
M_tot	0.0	μB per formula unit
theoretical density	6.30	g cm⁻³
space group	C2/m
DFT formation energy	-496	meV/atom



No. 4
# PSeO2

A geometry-optimized PSeO2 structure (PBE-GGA, the Alexandria database).

a = 5.4662 Å, b = 5.4662 Å, c = 5.4653 Å
α = 59.99°, β = 59.99°, γ = 90.00°
With the nearest neighbours (Å) after each atom.
Element x y z (fractional)
O1 0.3748 0.6250 0.2500  2 P 1.67
P1 0.2500 0.7500 0.5000  4 O 1.67
O2 0.3752 0.1250 0.2500  2 P 1.67
O3 0.8750 0.6252 0.7500  2 P 1.67
O4 0.3750 0.6248 0.7500  2 P 1.67
Se1 0.0000 0.0000 0.0000  12 O 3.20-3.21, 4 Se 3.35, 4 P 3.35
Se2 0.7500 0.2500 0.5000  12 O 3.20-3.21, 4 Se 3.35, 4 P 3.35
P2 0.5000 0.5000 0.0000  4 O 1.67

Output
excess energy over the best structure of this formula in the dataset	0.000	eV/atom
ΔE_f (raw)	-164	kJ/mol of formula units
crystal system	cubic
M_tot	0.3	μB per formula unit
theoretical density	4.08	g cm⁻³
space group	Fd-3m



No. 5
# CoW2

A geometry-optimized CoW2 structure (PBE-GGA, the Alexandria database).

a = 7.0235 Å, b = 7.0235 Å, c = 4.3951 Å
α = 90.00°, β = 90.00°, γ = 156.52°
With the nearest neighbours (Å) after each atom.
Element x y z (fractional)
W1 0.0618 0.9382 0.2500  6 Co 2.68-2.69, 6 W 2.78-2.90
W2 0.9382 0.0618 0.7500  6 Co 2.68-2.69, 6 W 2.78-2.90
W3 0.2552 0.7448 0.7500  2 Co 2.52, 4 W 2.63
Co1 0.3962 0.6038 0.2500  8 W 2.52-2.69
W4 0.7448 0.2552 0.2500  2 Co 2.52, 4 W 2.63
Co2 0.6038 0.3962 0.7500  8 W 2.52-2.69

Output
excess energy over the best structure of this formula in the dataset	0.247	eV/atom
crystal system	orthorhombic
M_tot	0.0	μB per formula unit
theoretical density	16.40	g cm⁻³
space group	Cmcm
DFT formation energy	254	meV/atom



No. 6
# Bi4PtRh

A geometry-optimized Bi4PtRh structure (PBE-GGA, the Alexandria database).

a = 6.7777 Å, b = 6.7691 Å, c = 6.7563 Å
α = 90.00°, β = 90.59°, γ = 90.00°
With the nearest neighbours (Å) after each atom.
Element x y z (fractional)
Bi1 0.8635 0.1339 0.3749  2 Rh 2.77, 1 Pt 2.85, 1 Bi 3.08
Bi2 0.1365 0.8661 0.6251  2 Rh 2.77, 1 Pt 2.85, 1 Bi 3.08
Bi3 0.6270 0.1295 0.8644  1 Rh 2.74, 2 Pt 2.81-2.82
Bi4 0.8730 0.6295 0.1356  1 Rh 2.74, 2 Pt 2.81-2.82
Pt1 0.5000 0.5000 0.0000  6 Bi 2.81-2.85
Bi5 0.3730 0.8705 0.1356  1 Rh 2.74, 2 Pt 2.81-2.82
Rh1 0.0000 0.5000 0.5000  6 Bi 2.74-2.77
Bi6 0.3635 0.3661 0.3749  2 Rh 2.77, 1 Pt 2.85, 1 Bi 3.08
Bi7 0.1270 0.3705 0.8644  1 Rh 2.74, 2 Pt 2.81-2.82
Bi8 0.6365 0.6339 0.6251  2 Rh 2.77, 1 Pt 2.85, 1 Bi 3.08
Pt2 0.0000 0.0000 0.0000  6 Bi 2.81-2.85
Rh2 0.5000 0.0000 0.5000  6 Bi 2.74-2.77

Output
excess energy over the best structure of this formula in the dataset	0.000	eV/atom
crystal system	monoclinic
M_tot	0.0	μB per formula unit
theoretical density	12.15	g cm⁻³
space group	P2_1/c
DFT formation energy	-178	meV/atom



No. 7
# YbHo2Se4

A geometry-optimized YbHo2Se4 structure (PBE-GGA, the Alexandria database).

a = 4.1064 Å, b = 7.0179 Å, c = 7.1447 Å
α = 71.88°, β = 90.00°, γ = 90.00°
With the nearest neighbours (Å) after each atom.
Element x y z (fractional)
Se1 0.0000 0.2573 0.2349  3 Ho 2.82-2.86, 1 Yb 2.91
Yb1 0.0000 0.5000 0.5000  6 Se 2.91-2.96
Ho1 0.0000 0.0000 0.0000  6 Se 2.82-2.89
Ho2 0.5000 0.5000 0.0000  6 Se 2.86-2.88
Se2 0.0000 0.7427 0.7651  3 Ho 2.82-2.86, 1 Yb 2.91
Se3 0.5000 0.2430 0.7546  3 Ho 2.88-2.89, 2 Yb 2.96
Se4 0.5000 0.7570 0.2454  3 Ho 2.88-2.89, 2 Yb 2.96

Output
ΔE_f (raw)	-1291	kJ/mol of formula units
crystal system	monoclinic
M_tot	0.3	μB per formula unit
theoretical density	6.95	g cm⁻³
space group	P2/m



No. 8
# Tb6Mg5Bi

A geometry-optimized Tb6Mg5Bi structure (PBE-GGA, the Alexandria database).

a = 5.4112 Å, b = 9.3516 Å, c = 9.3516 Å
α = 120.58°, β = 106.81°, γ = 106.81°
With the nearest neighbours (Å) after each atom.
Element x y z (fractional)
Mg1 0.5000 0.8278 0.1722  8 Tb 3.19-3.39
Tb1 0.2465 0.7465 0.7465  6 Mg 3.28-3.39, 2 Bi 3.31
Tb2 0.2522 0.0839 0.4204  7 Mg 3.19-3.31, 1 Bi 3.33
Bi1 0.0000 0.0000 0.0000  8 Tb 3.31-3.33
Tb3 0.7478 0.9161 0.5796  7 Mg 3.19-3.31, 1 Bi 3.33
Mg2 0.5000 0.5000 0.5000  8 Tb 3.28-3.31
Mg3 0.5000 0.1722 0.8278  8 Tb 3.19-3.39
Tb4 0.2522 0.4204 0.0839  7 Mg 3.19-3.31, 1 Bi 3.33
Tb5 0.7478 0.5796 0.9161  7 Mg 3.19-3.31, 1 Bi 3.33
Mg4 0.0000 0.3337 0.6663  8 Tb 3.28-3.29
Tb6 0.7535 0.2535 0.2535  6 Mg 3.28-3.39, 2 Bi 3.31
Mg5 0.0000 0.6663 0.3337  8 Tb 3.28-3.29

Output
crystal system	orthorhombic
M_tot	0.0	μB per formula unit
theoretical density	6.44	g cm⁻³
space group	Immm
DFT formation energy	-199	meV/atom



No. 9
# MnW2Au

A geometry-optimized MnW2Au structure (PBE-GGA, the Alexandria database).

a = 3.2570 Å, b = 3.2570 Å, c = 5.9882 Å
α = 90.00°, β = 90.00°, γ = 90.00°
With the nearest neighbours (Å) after each atom.
Element x y z (fractional)
W1 0.5000 0.5000 0.2308  4 W 2.70, 1 Mn 2.84, 4 Au 2.87
W2 0.0000 0.0000 0.9963  4 W 2.70, 4 Mn 2.71, 1 Au 2.88
Mn1 0.5000 0.5000 0.7571  5 W 2.71-2.84, 4 Au 2.72
Au1 0.0000 0.0000 0.5158  4 Mn 2.72, 5 W 2.87-2.88

Output
excess energy over the best structure of this formula in the dataset	0.041	eV/atom
crystal system	tetragonal
M_tot	3.0	μB per formula unit
theoretical density	16.20	g cm⁻³
space group	P4mm
DFT formation energy	264	meV/atom



No. 10
# TmHfCr2S6

A geometry-optimized TmHfCr2S6 structure (PBE-GGA, the Alexandria database).

a = 6.3461 Å, b = 6.3463 Å, c = 6.8604 Å
α = 62.44°, β = 62.44°, γ = 60.01°
With the nearest neighbours (Å) after each atom.
Element x y z (fractional)
Tm1 0.8159 0.8159 0.5523  6 S 2.66-2.70
Cr1 0.5095 0.5095 0.4714  6 S 2.49-2.53
S1 0.6105 0.2437 0.2410  2 Cr 2.49-2.51, 1 Hf 2.53, 1 Tm 2.70
S2 0.3774 0.7399 0.7503  2 Cr 2.44-2.53, 1 Hf 2.55, 1 Tm 2.66
S3 0.2438 0.9048 0.2409  2 Cr 2.49-2.51, 1 Hf 2.53, 1 Tm 2.70
S4 0.7398 0.1323 0.7503  2 Cr 2.44-2.53, 1 Hf 2.55, 1 Tm 2.66
S5 0.1323 0.3775 0.7504  2 Cr 2.44-2.53, 1 Hf 2.55, 1 Tm 2.66
S6 0.9049 0.6104 0.2410  2 Cr 2.49-2.51, 1 Hf 2.53, 1 Tm 2.70
Hf1 0.3213 0.3213 0.0364  6 S 2.53-2.55
Cr2 0.0063 0.0062 0.9812  6 S 2.44-2.51

Output
ΔE_f (raw)	-1159	kJ/mol of formula units
crystal system	trigonal
M_tot	7.0	μB per formula unit
theoretical density	5.29	g cm⁻³
space group	R3



No. 11
# Ta2ZnBr

A geometry-optimized Ta2ZnBr structure (PBE-GGA, the Alexandria database).

a = 5.7135 Å, b = 5.7135 Å, c = 5.7135 Å
α = 149.28°, β = 130.38°, γ = 59.50°
With the nearest neighbours (Å) after each atom.
Element x y z (fractional)
Br1 0.2321 0.7321 0.5000  6 Ta 2.62-2.84
Ta1 0.0170 0.0170 0.0000  2 Br 2.62, 4 Zn 2.84
Ta2 0.7478 0.2478 0.5000  4 Br 2.84, 2 Zn 2.86, 4 Ta 3.03-3.07
Zn1 0.5031 0.5031 0.0000  6 Ta 2.84-2.86, 2 Zn 3.03, 2 Br 3.09

Output
excess energy over the best structure of this formula in the dataset	0.352	eV/atom
ΔE_f (raw)	200	kJ/mol of formula units
crystal system	orthorhombic
M_tot	0.0	μB per formula unit
theoretical density	11.70	g cm⁻³
space group	Imm2



No. 12
# Zr2VAu

A geometry-optimized Zr2VAu structure (PBE-GGA, the Alexandria database).

a = 4.7864 Å, b = 4.7864 Å, c = 4.7864 Å
α = 60.00°, β = 60.00°, γ = 60.00°
With the nearest neighbours (Å) after each atom.
Element x y z (fractional)
V1 0.0000 0.0000 0.0000  8 Zr 2.93
Zr1 0.7500 0.7500 0.7500  4 V 2.93, 4 Au 2.93
Zr2 0.2500 0.2500 0.2500  4 Au 2.93, 4 V 2.93
Au1 0.5000 0.5000 0.5000  8 Zr 2.93

Output
excess energy over the best structure of this formula in the dataset	0.106	eV/atom
crystal system	cubic
M_tot	1.6	μB per formula unit
theoretical density	9.22	g cm⁻³
space group	Fm-3m
DFT formation energy	-108	meV/atom



No. 13
# AlMo2As

A geometry-optimized AlMo2As structure (PBE-GGA, the Alexandria database).

a = 3.2648 Å, b = 3.2648 Å, c = 5.7506 Å
α = 90.00°, β = 90.00°, γ = 90.00°
With the nearest neighbours (Å) after each atom.
Element x y z (fractional)
Al1 0.0000 0.0000 0.4925  6 Mo 2.66-2.91, 4 As 2.77
Mo1 0.5000 0.5000 0.2622  4 Al 2.66, 4 Mo 2.80, 2 As 2.86-2.90
As1 0.5000 0.5000 0.7586  6 Mo 2.65-2.90, 4 Al 2.77
Mo2 0.0000 0.0000 0.9867  4 As 2.65, 4 Mo 2.80, 2 Al 2.84-2.91

Output
excess energy over the best structure of this formula in the dataset	0.000	eV/atom
crystal system	tetragonal
M_tot	0.0	μB per formula unit
theoretical density	7.96	g cm⁻³
space group	P4mm
DFT formation energy	-217	meV/atom



No. 14
# ZnH2Ru2

A geometry-optimized ZnH2Ru2 structure (PBE-GGA, the Alexandria database).

a = 3.0876 Å, b = 3.0876 Å, c = 5.4630 Å
α = 73.59°, β = 73.59°, γ = 90.00°
With the nearest neighbours (Å) after each atom.
Element x y z (fractional)
Ru1 0.3522 0.3522 0.2955  4 H 1.85
H1 0.7500 0.2500 0.5000  4 Ru 1.85
H2 0.2500 0.7500 0.5000  4 Ru 1.85
Ru2 0.6478 0.6478 0.7045  4 H 1.85
Zn1 0.0000 0.0000 0.0000  8 Ru 2.64, 8 H 2.94

Output
excess energy over the best structure of this formula in the dataset	0.000	eV/atom
crystal system	tetragonal
M_tot	0.0	μB per formula unit
theoretical density	9.38	g cm⁻³
space group	I4/mmm



No. 15
# Dy3TmSc5

A geometry-optimized Dy3TmSc5 structure (PBE-GGA, the Alexandria database).

a = 8.3365 Å, b = 8.3365 Å, c = 9.2142 Å
α = 116.90°, β = 116.90°, γ = 90.00°
With the nearest neighbours (Å) after each atom.
Element x y z (fractional)
Sc1 0.1581 0.0716 0.7297  1 Dy 2.81, 1 Tm 2.93
Sc2 0.9284 0.4284 0.2703  1 Dy 2.81, 1 Tm 2.93
Sc3 0.5000 0.5000 0.0000  6 Dy 3.33-3.54, 8 Sc 3.55
Sc4 0.4284 0.3419 0.2703  1 Dy 2.81, 1 Tm 2.93
Sc5 0.0000 0.0000 0.0000  6 Dy 3.33-3.54, 8 Sc 3.55
Tm1 0.7500 0.2500 0.5000  4 Sc 2.93
Tm2 0.2500 0.7500 0.5000  4 Sc 2.93
Dy1 0.3815 0.8815 0.0000  1 Dy 2.80, 2 Sc 2.81
Dy2 0.8815 0.6185 0.0000  1 Dy 2.80, 2 Sc 2.81
Sc6 0.0716 0.5716 0.7297  1 Dy 2.81, 1 Tm 2.93
Dy3 0.7500 0.7500 0.5000  10 Sc 3.40-3.54
Dy4 0.6185 0.1185 0.0000  1 Dy 2.80, 2 Sc 2.81
Sc7 0.8419 0.9284 0.2703  1 Dy 2.81, 1 Tm 2.93
Sc8 0.6581 0.1581 0.7297  1 Dy 2.81, 1 Tm 2.93
Sc9 0.5716 0.6581 0.7297  1 Dy 2.81, 1 Tm 2.93
Dy5 0.1185 0.3815 0.0000  1 Dy 2.80, 2 Sc 2.81
Sc10 0.3419 0.8419 0.2703  1 Dy 2.81, 1 Tm 2.93
Dy6 0.2500 0.2500 0.5000  10 Sc 3.40-3.54

Output
crystal system	tetragonal
M_tot	0.0	μB per formula unit
theoretical density	5.95	g cm⁻³
space group	I4/mcm
DFT formation energy	290	meV/atom